Below is LiFeN2O after structural relaxation, with properties calculated at the PBE with a Hubbard U level.

Lattice parameters (Å, degrees): 3.556 3.556 3.624 90.00 90.00 90.00
Space group P4/mmm (No. 123)
Unique sites:
Li  0.000  0.000  0.000
Fe  0.500  0.500  0.500
N  0.000  0.500  0.000
O  0.000  0.000  0.500

- Total DFT energy (no corrections): -22.516 eV per cell
- Magnetic moment: 2.5 Bohr magnetons per cell
- Crystal system: tetragonal